(1)
FeRh3F, optimized geometry, DFT GGA+U; magnetic moment = 1.375 μB per atom; energy = -5.167 eV/atom; energy relative to the lowest polymorph listed for this composition = 0 meV per atom; symmetry = Pm-3m, No. 221
1.0
4.2331 0.0000 0.0000
0.0000 4.2331 0.0000
0.0000 0.0000 4.2331
Fe Rh F
1 3 1
Cartesian
0.0000 0.0000 0.0000 Fe
0.0000 2.1166 2.1166 Rh
2.1166 0.0000 2.1166 Rh
2.1166 2.1166 0.0000 Rh
2.1166 2.1166 2.1166 F

---

(2)
FeRhF5, optimized geometry, DFT GGA+U; magnetic moment = 0.570 μB per atom; energy = -5.067 eV/atom; symmetry = C2/c, No. 15
1.0
4.3408 -3.2743 0.0000
4.3408 3.2743 0.0000
-3.1821 0.0000 6.8198
Fe Rh F
2 2 10
Cartesian
1.9542 3.2221 5.1148 Fe
3.5453 -3.2221 1.7049 Fe
4.3408 0.0000 0.0000 Rh
2.7497 0.0000 3.4099 Rh
4.0919 1.9951 0.1836 F
1.0013 0.2612 2.4726 F
2.9986 1.9951 3.2263 F
-0.5897 -0.2612 5.8825 F
1.9542 0.6764 5.1148 F
3.5453 -0.6764 1.7049 F
6.0892 0.2612 0.9373 F
2.5009 -1.9951 3.5935 F
4.4981 -0.2612 4.3472 F
1.4075 -1.9951 6.6362 F

---

(3)
FeRhF3, optimized geometry, DFT GGA+U; magnetic moment = 1.216 μB per atom; energy = -4.766 eV/atom; energy relative to the lowest polymorph listed for this composition = 0 meV per atom; symmetry = Pm-3m, No. 221
1.0
4.0571 0.0000 0.0000
0.0000 4.0571 0.0000
0.0000 0.0000 4.0571
Fe Rh F
1 1 3
Cartesian
0.0000 0.0000 0.0000 Fe
2.0285 2.0285 2.0285 Rh
0.0000 0.0000 2.0285 F
0.0000 2.0285 0.0000 F
2.0285 0.0000 0.0000 F

---

(4)
Fe3RhF, optimized geometry, DFT GGA+U; magnetic moment = 2.390 μB per atom; energy = -4.531 eV/atom; energy relative to the lowest polymorph listed for this composition = 346 meV per atom; symmetry = Pm-3m, No. 221
1.0
4.8674 0.0000 0.0000
0.0000 4.8674 0.0000
0.0000 0.0000 4.8674
Fe Rh F
3 1 1
Cartesian
0.0000 0.0000 2.4337 Fe
0.0000 2.4337 0.0000 Fe
2.4337 0.0000 0.0000 Fe
0.0000 0.0000 0.0000 Rh
2.4337 2.4337 2.4337 F

---

(5)
FeRhF3, optimized geometry, DFT GGA+U; magnetic moment = 0.772 μB per atom; energy = -4.212 eV/atom; energy relative to the lowest polymorph listed for this composition = 553 meV per atom; symmetry = Pm-3m, No. 221
1.0
4.2147 0.0000 0.0000
0.0000 4.2147 0.0000
0.0000 0.0000 4.2147
Fe Rh F
1 1 3
Cartesian
0.0000 0.0000 0.0000 Fe
2.1073 2.1073 2.1073 Rh
0.0000 2.1073 2.1073 F
2.1073 0.0000 2.1073 F
2.1073 2.1073 0.0000 F

---

(6)
Fe2RhF, optimized geometry, DFT GGA+U; magnetic moment = 1.999 μB per atom; energy = -4.882 eV/atom; energy relative to the lowest polymorph listed for this composition = 436 meV per atom; symmetry = Fm-3m, No. 225
1.0
0.0000 3.0334 3.0334
3.0334 0.0000 3.0334
3.0334 3.0334 0.0000
Fe Rh F
2 1 1
Cartesian
1.5167 1.5167 1.5167 Fe
4.5501 4.5501 4.5501 Fe
0.0000 0.0000 0.0000 Rh
3.0334 3.0334 3.0334 F

---

(7)
Fe3RhF, optimized geometry, DFT GGA+U; magnetic moment = 2.279 μB per atom; energy = -4.877 eV/atom; energy relative to the lowest polymorph listed for this composition = 0 meV per atom; symmetry = Pm-3m, No. 221
1.0
4.1264 0.0000 0.0000
0.0000 4.1264 0.0000
0.0000 0.0000 4.1264
Fe Rh F
3 1 1
Cartesian
0.0000 0.0000 2.0632 Fe
0.0000 2.0632 0.0000 Fe
2.0632 0.0000 0.0000 Fe
2.0632 2.0632 2.0632 Rh
0.0000 0.0000 0.0000 F

---

(8)
FeRh2F8, optimized geometry, DFT GGA+U; magnetic moment = 0.948 μB per atom; energy = -4.687 eV/atom; symmetry = P-3, No. 147
1.0
6.4621 0.0000 0.0000
-3.2310 5.5963 0.0000
0.0000 0.0000 4.2663
Fe Rh F
1 2 8
Cartesian
0.0000 0.0000 0.0000 Fe
0.0000 3.7309 3.1667 Rh
3.2310 1.8654 1.0996 Rh
-0.0070 1.6558 3.2098 F
-1.7936 4.7745 3.2098 F
1.4304 0.8340 1.0564 F
0.0000 3.7309 1.0526 F
3.2310 1.8654 3.2137 F
1.8006 4.7624 3.2098 F
5.0246 0.8218 1.0564 F
3.2381 3.9405 1.0564 F

---

(9)
FeRh3F, optimized geometry, DFT GGA+U; magnetic moment = 0.000 μB per atom; energy = -4.164 eV/atom; energy relative to the lowest polymorph listed for this composition = 1003 meV per atom; symmetry = Pm-3m, No. 221
1.0
4.4270 0.0000 0.0000
0.0000 4.4270 0.0000
0.0000 0.0000 4.4270
Fe Rh F
1 3 1
Cartesian
0.0000 0.0000 0.0000 Fe
0.0000 0.0000 2.2135 Rh
0.0000 2.2135 0.0000 Rh
2.2135 0.0000 0.0000 Rh
2.2135 2.2135 2.2135 F

---

(10)
FeRhF6, optimized geometry, DFT GGA+U; magnetic moment = 0.642 μB per atom; energy = -4.986 eV/atom; symmetry = P-31c, No. 163
1.0
4.9991 0.0000 0.0000
-2.4996 4.3294 0.0000
0.0000 0.0000 9.2493
Fe Rh F
2 2 12
Cartesian
0.0000 2.8862 2.3123 Fe
2.4996 1.4431 6.9370 Fe
0.0000 0.0000 0.0000 Rh
0.0000 0.0000 4.6247 Rh
-0.7275 1.4656 1.1630 F
-1.5941 2.9665 3.4617 F
0.7275 1.4656 3.4617 F
-0.8666 4.2266 1.1630 F
1.6330 0.1027 5.7876 F
0.9054 1.3628 8.0864 F
1.5941 2.9665 1.1630 F
0.8666 4.2266 3.4617 F
3.3661 0.1027 8.0864 F
1.7720 2.8638 5.7876 F
4.0937 1.3628 5.7876 F
3.2271 2.8638 8.0864 F

---

(11)
FeRuRhF2, optimized geometry, DFT GGA+U; magnetic moment = 1.397 μB per atom; energy = -5.568 eV/atom; symmetry = P4/mmm, No. 123
1.0
3.7266 0.0000 0.0000
0.0000 3.7266 0.0000
0.0000 0.0000 6.2215
Fe Ru Rh F
1 1 1 2
Cartesian
0.0000 0.0000 0.0000 Fe
0.0000 0.0000 3.1107 Ru
1.8633 1.8633 3.1107 Rh
0.0000 1.8633 0.0000 F
1.8633 0.0000 0.0000 F

---

(12)
FeRhWF2, optimized geometry, DFT GGA+U; magnetic moment = 0.189 μB per atom; energy = -5.097 eV/atom; symmetry = P4/mmm, No. 123
1.0
4.0440 0.0000 0.0000
0.0000 4.0440 0.0000
0.0000 0.0000 5.9084
Fe Rh W F
1 1 1 2
Cartesian
0.0000 0.0000 0.0000 Fe
2.0220 2.0220 0.0000 Rh
0.0000 0.0000 2.9542 W
0.0000 2.0220 2.9542 F
2.0220 0.0000 2.9542 F

---

What did the twelfth record say?
FeRhWF2, optimized geometry, DFT GGA+U; magnetic moment = 0.189 μB per atom; energy = -5.097 eV/atom; symmetry = P4/mmm, No. 123
1.0
4.0440 0.0000 0.0000
0.0000 4.0440 0.0000
0.0000 0.0000 5.9084
Fe Rh W F
1 1 1 2
Cartesian
0.0000 0.0000 0.0000 Fe
2.0220 2.0220 0.0000 Rh
0.0000 0.0000 2.9542 W
0.0000 2.0220 2.9542 F
2.0220 0.0000 2.9542 F

---

> What is the magnetic moment in the ninth record?

0.000 μB per atom